Entry 1:
# PBE-GGA ReIr2Au, relaxed
# Magnetization, μB per atom: 0.000
# Calculated density, g/cm³: 20.7
data_ReIr2Au
_chemical_formula_sum 'Re2 Ir4 Au2'
_space_group_name_H-M_alt 'C 1 m 1'
_space_group_IT_number 8
_space_group_name_Hall 'C -2y'
_cell_length_a 9.280
_cell_length_b 2.796
_cell_length_c 4.814
_cell_angle_alpha 90.00
_cell_angle_beta 100.28
_cell_angle_gamma 90.00
loop_
_atom_site_label
_atom_site_type_symbol
_atom_site_fract_x
_atom_site_fract_y
_atom_site_fract_z
_atom_site_occupancy
Re1 Re 0.000 0.000 0.000 1
Ir1 Ir 0.242 0.500 0.212 1
Ir2 Ir 0.486 0.000 0.473 1
Au1 Au 0.242 0.000 0.721 1

=====

Entry 2:
# PBE-GGA ReIr2Au, relaxed
# Magnetization, μB per atom: 0.000
# Calculated density, g/cm³: 20.7
data_ReIr2Au
_chemical_formula_sum 'Re1 Ir2 Au1'
_space_group_name_H-M_alt 'P 4/m m m'
_space_group_IT_number 123
_space_group_name_Hall '-P 4 2'
_cell_length_a 3.983
_cell_length_b 3.983
_cell_length_c 3.873
_cell_angle_alpha 90.00
_cell_angle_beta 90.00
_cell_angle_gamma 90.00
loop_
_atom_site_label
_atom_site_type_symbol
_atom_site_fract_x
_atom_site_fract_y
_atom_site_fract_z
_atom_site_occupancy
Re1 Re 0.000 0.000 0.000 1
Ir1 Ir 0.000 0.500 0.500 1
Au1 Au 0.500 0.500 0.000 1

=====

Entry 3:
# PBE-GGA Re2IrAu, relaxed
# Magnetization, μB per atom: 0.000
# Calculated density, g/cm³: 20.2
data_Re2IrAu
_chemical_formula_sum 'Re6 Ir3 Au3'
_space_group_name_H-M_alt 'R 3 m'
_space_group_IT_number 160
_space_group_name_Hall 'R 3 -2"'
_cell_length_a 2.7914
_cell_length_b 2.7914
_cell_length_c 27.8398
_cell_angle_alpha 90.00
_cell_angle_beta 90.00
_cell_angle_gamma 120.00
loop_
_atom_site_label
_atom_site_type_symbol
_atom_site_fract_x
_atom_site_fract_y
_atom_site_fract_z
_atom_site_occupancy
Re1 Re 0.0000 0.0000 0.0000 1
Re2 Re 0.0000 0.0000 0.2551 1
Ir1 Ir 0.0000 0.0000 0.7445 1
Au1 Au 0.0000 0.0000 0.4999 1

=====

Entry 4:
# PBE-GGA ReIr2Au, relaxed
# Magnetization, μB per atom: 0.000
# Calculated density, g/cm³: 20.4
data_ReIr2Au
_chemical_formula_sum 'Re1 Ir2 Au1'
_space_group_name_H-M_alt 'P m m m'
_space_group_IT_number 47
_space_group_name_Hall '-P 2 2'
_cell_length_a 2.770
_cell_length_b 4.680
_cell_length_c 4.829
_cell_angle_alpha 90.00
_cell_angle_beta 90.00
_cell_angle_gamma 90.00
loop_
_atom_site_label
_atom_site_type_symbol
_atom_site_fract_x
_atom_site_fract_y
_atom_site_fract_z
_atom_site_occupancy
Re1 Re 0.000 0.000 0.000 1
Ir1 Ir 0.000 0.500 0.500 1
Ir2 Ir 0.500 0.500 0.000 1
Au1 Au 0.500 0.000 0.500 1

=====

Entry 5:
# PBE-GGA ReIr2Au, relaxed
# Magnetization, μB per atom: 0.000
# Calculated density, g/cm³: 20.8
data_ReIr2Au
_chemical_formula_sum 'Re1 Ir2 Au1'
_space_group_name_H-M_alt 'P m m m'
_space_group_IT_number 47
_space_group_name_Hall '-P 2 2'
_cell_length_a 2.798
_cell_length_b 3.847
_cell_length_c 5.700
_cell_angle_alpha 90.00
_cell_angle_beta 90.00
_cell_angle_gamma 90.00
loop_
_atom_site_label
_atom_site_type_symbol
_atom_site_fract_x
_atom_site_fract_y
_atom_site_fract_z
_atom_site_occupancy
Re1 Re 0.000 0.000 0.000 1
Ir1 Ir 0.500 0.500 0.234 1
Au1 Au 0.000 0.000 0.500 1

=====

Entry 6:
# PBE-GGA ReIr2Au, relaxed
# Magnetization, μB per atom: 0.000
# Calculated density, g/cm³: 18.2
data_ReIr2Au
_chemical_formula_sum 'Re4 Ir8 Au4'
_space_group_name_H-M_alt 'I -4 2 d'
_space_group_IT_number 122
_space_group_name_Hall 'I -4 2bw'
_cell_length_a 7.183
_cell_length_b 7.183
_cell_length_c 5.435
_cell_angle_alpha 90.00
_cell_angle_beta 90.00
_cell_angle_gamma 90.00
loop_
_atom_site_label
_atom_site_type_symbol
_atom_site_fract_x
_atom_site_fract_y
_atom_site_fract_z
_atom_site_occupancy
Re1 Re 0.000 0.000 0.000 1
Ir1 Ir 0.209 0.250 0.125 1
Au1 Au 0.000 0.000 0.500 1

=====

Entry 7:
# PBE-GGA ReIr2Au, relaxed
# Magnetization, μB per atom: 0.000
# Calculated density, g/cm³: 19.1
data_ReIr2Au
_chemical_formula_sum 'Re2 Ir4 Au2'
_space_group_name_H-M_alt 'I m m 2'
_space_group_IT_number 44
_space_group_name_Hall 'I 2 -2'
_cell_length_a 2.745
_cell_length_b 4.371
_cell_length_c 11.122
_cell_angle_alpha 90.00
_cell_angle_beta 90.00
_cell_angle_gamma 90.00
loop_
_atom_site_label
_atom_site_type_symbol
_atom_site_fract_x
_atom_site_fract_y
_atom_site_fract_z
_atom_site_occupancy
Re1 Re 0.000 0.000 0.000 1
Ir1 Ir 0.000 0.000 0.424 1
Ir2 Ir 0.000 0.500 0.692 1
Au1 Au 0.000 0.500 0.264 1

=====

Entry 8:
# PBE-GGA Re2IrAu, relaxed
# Magnetization, μB per atom: 0.000
# Calculated density, g/cm³: 20.6
data_Re2IrAu
_chemical_formula_sum 'Re4 Ir2 Au2'
_space_group_name_H-M_alt 'C m m m'
_space_group_IT_number 65
_space_group_name_Hall '-C 2 2'
_cell_length_a 5.456
_cell_length_b 8.120
_cell_length_c 2.765
_cell_angle_alpha 90.00
_cell_angle_beta 90.00
_cell_angle_gamma 90.00
loop_
_atom_site_label
_atom_site_type_symbol
_atom_site_fract_x
_atom_site_fract_y
_atom_site_fract_z
_atom_site_occupancy
Re1 Re 0.250 0.250 0.000 1
Ir1 Ir 0.000 0.000 0.500 1
Au1 Au 0.000 0.500 0.500 1

=====

Entry 9:
# PBE-GGA Re2IrAu, relaxed
# Magnetization, μB per atom: 0.000
# Calculated density, g/cm³: 20.6
data_Re2IrAu
_chemical_formula_sum 'Re4 Ir2 Au2'
_space_group_name_H-M_alt 'I 4/m m m'
_space_group_IT_number 139
_space_group_name_Hall '-I 4 2'
_cell_length_a 3.851
_cell_length_b 3.851
_cell_length_c 8.273
_cell_angle_alpha 90.00
_cell_angle_beta 90.00
_cell_angle_gamma 90.00
loop_
_atom_site_label
_atom_site_type_symbol
_atom_site_fract_x
_atom_site_fract_y
_atom_site_fract_z
_atom_site_occupancy
Re1 Re 0.000 0.500 0.250 1
Ir1 Ir 0.000 0.000 0.000 1
Au1 Au 0.000 0.000 0.500 1

=====

Entry 10:
# PBE-GGA ReIr2Au, relaxed
# Magnetization, μB per atom: 0.000
# Calculated density, g/cm³: 20.7
data_ReIr2Au
_chemical_formula_sum 'Re1 Ir2 Au1'
_space_group_name_H-M_alt 'P m m 2'
_space_group_IT_number 25
_space_group_name_Hall 'P 2 -2'
_cell_length_a 2.782
_cell_length_b 3.960
_cell_length_c 5.588
_cell_angle_alpha 90.00
_cell_angle_beta 90.00
_cell_angle_gamma 90.00
loop_
_atom_site_label
_atom_site_type_symbol
_atom_site_fract_x
_atom_site_fract_y
_atom_site_fract_z
_atom_site_occupancy
Re1 Re 0.000 0.000 0.000 1
Ir1 Ir 0.000 0.000 0.531 1
Ir2 Ir 0.500 0.500 0.788 1
Au1 Au 0.500 0.500 0.274 1

=====

Entry 11:
# PBE-GGA ReIr2Au, relaxed
# Magnetization, μB per atom: 0.000
# Calculated density, g/cm³: 20.8
data_ReIr2Au
_chemical_formula_sum 'Re2 Ir4 Au2'
_space_group_name_H-M_alt 'C 1 2/m 1'
_space_group_IT_number 12
_space_group_name_Hall '-C 2y'
_cell_length_a 9.237
_cell_length_b 2.770
_cell_length_c 4.858
_cell_angle_alpha 90.00
_cell_angle_beta 99.44
_cell_angle_gamma 90.00
loop_
_atom_site_label
_atom_site_type_symbol
_atom_site_fract_x
_atom_site_fract_y
_atom_site_fract_z
_atom_site_occupancy
Re1 Re 0.000 0.000 0.000 1
Ir1 Ir 0.244 0.500 0.234 1
Au1 Au 0.000 0.500 0.500 1

=====

Entry 12:
# PBE-GGA ReIr2Au, relaxed
# Magnetization, μB per atom: 0.000
# Calculated density, g/cm³: 20.9
data_ReIr2Au
_chemical_formula_sum 'Re2 Ir4 Au2'
_space_group_name_H-M_alt 'I 4/m m m'
_space_group_IT_number 139
_space_group_name_Hall '-I 4 2'
_cell_length_a 3.947
_cell_length_b 3.947
_cell_length_c 7.833
_cell_angle_alpha 90.00
_cell_angle_beta 90.00
_cell_angle_gamma 90.00
loop_
_atom_site_label
_atom_site_type_symbol
_atom_site_fract_x
_atom_site_fract_y
_atom_site_fract_z
_atom_site_occupancy
Re1 Re 0.000 0.000 0.000 1
Ir1 Ir 0.000 0.500 0.250 1
Au1 Au 0.000 0.000 0.500 1

=====

Entry 13:
# PBE-GGA ReIr2Au, relaxed
# Magnetization, μB per atom: 0.000
# Calculated density, g/cm³: 20.6
data_ReIr2Au
_chemical_formula_sum 'Re1 Ir2 Au1'
_space_group_name_H-M_alt 'P 4/m m m'
_space_group_IT_number 123
_space_group_name_Hall '-P 4 2'
_cell_length_a 2.800
_cell_length_b 2.800
_cell_length_c 7.897
_cell_angle_alpha 90.00
_cell_angle_beta 90.00
_cell_angle_gamma 90.00
loop_
_atom_site_label
_atom_site_type_symbol
_atom_site_fract_x
_atom_site_fract_y
_atom_site_fract_z
_atom_site_occupancy
Re1 Re 0.000 0.000 0.000 1
Ir1 Ir 0.500 0.500 0.228 1
Au1 Au 0.000 0.000 0.500 1

=====

Entry 14:
# PBE-GGA Re2Ir2Au, relaxed
# Magnetization, μB per atom: 0.000
# Calculated density, g/cm³: 19.7
data_Re2Ir2Au
_chemical_formula_sum 'Re4 Ir4 Au2'
_space_group_name_H-M_alt 'P 4/m b m'
_space_group_IT_number 127
_space_group_name_Hall '-P 4 2ab'
_cell_length_a 7.678
_cell_length_b 7.678
_cell_length_c 2.726
_cell_angle_alpha 90.00
_cell_angle_beta 90.00
_cell_angle_gamma 90.00
loop_
_atom_site_label
_atom_site_type_symbol
_atom_site_fract_x
_atom_site_fract_y
_atom_site_fract_z
_atom_site_occupancy
Re1 Re 0.169 0.331 0.000 1
Ir1 Ir 0.124 0.624 0.500 1
Au1 Au 0.000 0.000 0.500 1

=====

Entry 15:
# PBE-GGA Re3IrAu, relaxed
# Magnetization, μB per atom: 0.336
# Calculated density, g/cm³: 15.1
data_Re3IrAu
_chemical_formula_sum 'Re3 Ir1 Au1'
_space_group_name_H-M_alt 'P m -3 m'
_space_group_IT_number 221
_space_group_name_Hall '-P 4 2 3'
_cell_length_a 4.710
_cell_length_b 4.710
_cell_length_c 4.710
_cell_angle_alpha 90.00
_cell_angle_beta 90.00
_cell_angle_gamma 90.00
loop_
_atom_site_label
_atom_site_type_symbol
_atom_site_fract_x
_atom_site_fract_y
_atom_site_fract_z
_atom_site_occupancy
Re1 Re 0.000 0.000 0.500 1
Ir1 Ir 0.000 0.000 0.000 1
Au1 Au 0.500 0.500 0.500 1

=====

no.,energy of formation (eV per atom),density of states at the Fermi level (states/eV per cell)
1,0.25,10.95
2,0.44,6.12
3,0.15,11.34
4,0.55,3.89
5,0.11,2.35
6,0.67,16.45
7,0.34,6.17
8,0.33,6.57
9,0.38,8.44
10,0.24,3.61
11,0.20,9.13
12,0.24,8.79
13,0.00,3.22
14,0.20,6.49
15,2.24,6.22